Record 1
! SrIrPt2 | Alexandria via LeMat-Bulk | PBE-GGA | relaxed; values from VASP
! DOS(E_F): 1.0476 states/eV per atom
! calculated volume: 76.9 Å³/cell
! SG: Pmmm (47)
! energy of formation: -0.093 eV per atom
! relative energy among the computed polymorphs: 2.2 meV/atom
! crystal system: orthorhombic
&SYSTEM
  ibrav = 0, nat = 4, ntyp = 3
/
ATOMIC_SPECIES
Ir 192.22 Ir.upf
Pt 195.08 Pt.upf
Sr 87.62 Sr.upf
CELL_PARAMETERS angstrom
3.828 0.000 0.000
0.000 2.853 0.001
0.000 2.856 7.043
ATOMIC_POSITIONS angstrom
Ir 1.914 4.282 5.283
Pt 0.000 2.855 6.658
Pt 0.000 2.855 3.907
Sr 1.914 1.427 1.761

Record 2
! LaHoO4 | Alexandria via LeMat-Bulk | PBE-GGA | relaxed; values from VASP
! uncorrected formation energy: -2.935 eV/atom
! DOS(E_F): 0.0000 states/eV per atom
! calculated volume: 85.4 Å³/cell
! SG: Cm (8)
! crystal system: monoclinic
&SYSTEM
  ibrav = 0, nat = 6, ntyp = 3
/
ATOMIC_SPECIES
La 138.91 La.upf
Ho 164.93 Ho.upf
O 16.00 O.upf
CELL_PARAMETERS angstrom
3.978 0.000 0.000
-1.989 3.320 -0.419
0.000 -0.078 6.475
ATOMIC_POSITIONS angstrom
La 0.000 2.961 2.737
Ho 0.000 0.372 0.087
O 1.989 1.034 5.267
O 0.000 2.646 0.273
O 0.000 0.622 2.339
O 1.989 2.128 4.228

Record 3
! LiSiTc2 | Alexandria via LeMat-Bulk | PBE-GGA | relaxed; values from VASP
! uncorrected formation energy: 0.007 eV/atom
! DOS(E_F): 0.8507 states/eV per atom
! calculated volume: 52.0 Å³/cell
! SG: Cmmm (65)
! crystal system: orthorhombic
&SYSTEM
  ibrav = 0, nat = 4, ntyp = 3
/
ATOMIC_SPECIES
Li 6.94 Li.upf
Si 28.09 Si.upf
Tc 98.00 Tc.upf
CELL_PARAMETERS angstrom
-1.836 -1.074 3.500
-3.050 -0.649 -2.655
0.977 -2.966 -0.398
ATOMIC_POSITIONS angstrom
Li -0.429 -2.020 1.551
Si -1.036 -1.808 -1.527
Tc 0.000 0.000 0.000
Tc -2.443 -0.862 0.423

Record 4
! NpGa4Pd2Ru | Alexandria via LeMat-Bulk | PBE-GGA | relaxed; values from VASP
! DOS(E_F): 1.3220 states/eV per atom
! calculated volume: 137.8 Å³/cell
! SG: R-3m (166)
! energy of formation: -0.366 eV per atom
! crystal system: trigonal
&SYSTEM
  ibrav = 0, nat = 8, ntyp = 4
/
ATOMIC_SPECIES
Np 237.00 Np.upf
Ga 69.72 Ga.upf
Pd 106.42 Pd.upf
Ru 101.07 Ru.upf
CELL_PARAMETERS angstrom
4.262 0.000 0.000
2.131 3.691 0.000
2.131 1.230 8.758
ATOMIC_POSITIONS angstrom
Np 0.000 0.000 0.000
Ga 4.262 2.461 7.029
Ga 6.393 3.691 3.493
Ga 2.131 1.230 5.265
Ga 4.262 2.461 1.729
Pd 6.393 3.691 6.211
Pd 2.131 1.230 2.547
Ru 4.262 2.461 4.379

Record 5
! K2CuMo | Alexandria via LeMat-Bulk | PBE-GGA | relaxed; values from VASP
! DOS(E_F): 0.8760 states/eV per atom
! calculated volume: 118.0 Å³/cell
! SG: Pmm2 (25)
! energy of formation: 0.866 eV per atom
! relative energy among the computed polymorphs: 0.0 meV/atom
! crystal system: orthorhombic
&SYSTEM
  ibrav = 0, nat = 4, ntyp = 3
/
ATOMIC_SPECIES
Cu 63.55 Cu.upf
K 39.10 K.upf
Mo 95.94 Mo.upf
CELL_PARAMETERS angstrom
-2.566 -0.870 0.765
0.445 -3.294 -2.255
4.136 -5.024 8.155
ATOMIC_POSITIONS angstrom
Cu 1.722 -5.462 4.741
K 3.763 -4.570 7.418
K 0.295 -3.729 1.928
Mo 2.440 -2.963 4.810

Record 6
! Er5GaRu2 | Alexandria via LeMat-Bulk | PBE-GGA | relaxed; values from VASP
! DOS(E_F): 0.7108 states/eV per atom
! calculated volume: 379.9 Å³/cell
! SG: I4/mcm (140)
! energy of formation: -0.448 eV per atom
! crystal system: tetragonal
&SYSTEM
  ibrav = 0, nat = 16, ntyp = 3
/
ATOMIC_SPECIES
Er 167.26 Er.upf
Ga 69.72 Ga.upf
Ru 101.07 Ru.upf
CELL_PARAMETERS angstrom
2.004 -6.398 -3.544
6.945 0.511 3.004
-6.473 -0.575 5.491
ATOMIC_POSITIONS angstrom
Er 1.221 -3.417 4.233
Er 6.600 -4.770 1.602
Er 0.000 0.000 0.000
Er 4.474 -2.944 -0.270
Er -4.125 -1.692 3.348
Er -1.897 -4.801 2.106
Er -1.006 -0.308 5.476
Er 4.372 -1.661 2.844
Er 3.481 -6.154 -0.525
Er 1.254 -3.045 0.717
Ga 3.475 -4.703 2.340
Ga -1.000 -1.759 2.611
Ru 2.783 -0.709 0.588
Ru 2.251 -4.021 -1.848
Ru 6.697 -1.866 1.307
Ru 6.166 -5.178 -1.128

Record 7
! Tl2ReN | Alexandria via LeMat-Bulk | PBE-GGA | relaxed; values from VASP
! uncorrected formation energy: 1.991 eV/atom
! DOS(E_F): 0.7840 states/eV per atom
! calculated volume: 73.4 Å³/cell
! SG: Fm-3m (225)
! relative energy among the computed polymorphs: 327.4 meV/atom
! crystal system: cubic
&SYSTEM
  ibrav = 0, nat = 4, ntyp = 3
/
ATOMIC_SPECIES
Re 186.21 Re.upf
Tl 204.38 Tl.upf
N 14.01 N.upf
CELL_PARAMETERS angstrom
-0.908 0.018 4.611
1.492 3.565 2.674
-3.093 3.061 1.774
ATOMIC_POSITIONS angstrom
Re -1.254 3.322 4.530
Tl -0.627 1.661 2.265
Tl -1.882 4.983 6.794
N 0.000 0.000 0.000

Record 8
! NdScGaHg | Alexandria via LeMat-Bulk | PBE-GGA | relaxed; values from VASP
! DOS(E_F): 1.1300 states/eV per atom
! calculated volume: 96.0 Å³/cell
! SG: F-43m (216)
! energy of formation: -0.465 eV per atom
! crystal system: cubic
&SYSTEM
  ibrav = 0, nat = 4, ntyp = 4
/
ATOMIC_SPECIES
Sc 44.96 Sc.upf
Nd 144.24 Nd.upf
Hg 200.59 Hg.upf
Ga 69.72 Ga.upf
CELL_PARAMETERS angstrom
5.139 0.000 0.000
2.569 4.450 0.000
2.569 1.483 4.196
ATOMIC_POSITIONS angstrom
Sc 5.139 2.967 2.098
Nd 0.000 0.000 0.000
Hg 7.708 4.450 3.147
Ga 2.569 1.483 1.049

Record 9
! TcSbTeN2 | Alexandria via LeMat-Bulk | PBE-GGA | relaxed; values from VASP
! uncorrected formation energy: 0.851 eV/atom
! DOS(E_F): 0.8369 states/eV per atom
! calculated volume: 91.3 Å³/cell
! SG: P4/mmm (123)
! relative energy among the computed polymorphs: 0.0 meV/atom
! crystal system: tetragonal
&SYSTEM
  ibrav = 0, nat = 5, ntyp = 4
/
ATOMIC_SPECIES
Sb 121.76 Sb.upf
Te 127.60 Te.upf
Tc 98.00 Tc.upf
N 14.01 N.upf
CELL_PARAMETERS angstrom
4.035 0.000 0.000
0.000 4.035 0.000
0.000 0.000 5.606
ATOMIC_POSITIONS angstrom
Sb 2.017 2.017 2.803
Te 0.000 0.000 2.803
Tc 0.000 0.000 0.000
N 0.000 2.017 0.000
N 2.017 0.000 0.000

Record 10
! ZnTeMo3 | Alexandria via LeMat-Bulk | PBE-GGA | relaxed; values from VASP
! uncorrected formation energy: 1.594 eV/atom
! DOS(E_F): 1.2145 states/eV per atom
! calculated volume: 99.6 Å³/cell
! SG: Pm-3m (221)
! relative energy among the computed polymorphs: 0.0 meV/atom
! crystal system: cubic
&SYSTEM
  ibrav = 0, nat = 5, ntyp = 3
/
ATOMIC_SPECIES
Mo 95.94 Mo.upf
Te 127.60 Te.upf
Zn 65.41 Zn.upf
CELL_PARAMETERS angstrom
-0.458 3.194 3.329
0.594 -3.276 3.226
4.575 0.746 -0.086
ATOMIC_POSITIONS angstrom
Mo 0.297 -1.638 1.613
Mo 2.287 0.373 -0.043
Mo -0.229 1.597 1.664
Te 2.356 0.332 3.234
Zn 0.000 0.000 0.000

Record 11
! LiCoSn2 | Alexandria via LeMat-Bulk | PBE-GGA | relaxed; values from VASP
! DOS(E_F): 0.3514 states/eV per atom
! calculated volume: 75.3 Å³/cell
! SG: P4/mmm (123)
! energy of formation: -0.112 eV per atom
! relative energy among the computed polymorphs: 1.2 meV/atom
! crystal system: tetragonal
&SYSTEM
  ibrav = 0, nat = 4, ntyp = 3
/
ATOMIC_SPECIES
Co 58.93 Co.upf
Sn 118.71 Sn.upf
Li 6.94 Li.upf
CELL_PARAMETERS angstrom
3.095 0.000 0.000
0.000 3.095 0.000
0.000 0.000 7.855
ATOMIC_POSITIONS angstrom
Co 1.548 1.548 0.000
Sn 0.000 0.000 6.191
Sn 0.000 0.000 1.664
Li 1.548 1.548 3.927

Record 12
! MnSbW3 | Alexandria via LeMat-Bulk | PBE-GGA | relaxed; values from VASP
! uncorrected formation energy: 3.054 eV/atom
! DOS(E_F): 2.1199 states/eV per atom
! calculated volume: 113.0 Å³/cell
! SG: Pm-3m (221)
! relative energy among the computed polymorphs: 1716.6 meV/atom
! crystal system: cubic
&SYSTEM
  ibrav = 0, nat = 5, ntyp = 3
/
ATOMIC_SPECIES
Sb 121.76 Sb.upf
Mn 54.94 Mn.upf
W 183.84 W.upf
CELL_PARAMETERS angstrom
4.835 0.000 0.000
0.000 4.835 0.000
0.000 0.000 4.835
ATOMIC_POSITIONS angstrom
Sb 0.000 0.000 0.000
Mn 2.418 2.418 2.418
W 0.000 2.418 0.000
W 0.000 0.000 2.418
W 2.418 0.000 0.000

Record 13
! SrFe2Hg | Alexandria via LeMat-Bulk | PBE-GGA | relaxed; values from VASP
! DOS(E_F): 0.8054 states/eV per atom
! calculated volume: 89.1 Å³/cell
! SG: R3m (160)
! energy of formation: 0.269 eV per atom
! crystal system: trigonal
&SYSTEM
  ibrav = 0, nat = 4, ntyp = 3
/
ATOMIC_SPECIES
Fe 55.84 Fe.upf
Hg 200.59 Hg.upf
Sr 87.62 Sr.upf
CELL_PARAMETERS angstrom
-2.183 -3.868 -4.878
1.543 -2.529 -5.894
1.133 -5.624 -3.256
ATOMIC_POSITIONS angstrom
Fe 0.466 -11.381 -13.281
Fe 0.138 -3.367 -3.929
Hg 0.264 -6.441 -7.516
Sr 0.363 -8.864 -10.344

Record 14
! Ag3BTe | Alexandria via LeMat-Bulk | PBE-GGA | relaxed; values from VASP
! uncorrected formation energy: 0.585 eV/atom
! DOS(E_F): 0.7280 states/eV per atom
! calculated volume: 94.4 Å³/cell
! SG: Pm-3m (221)
! relative energy among the computed polymorphs: 0.0 meV/atom
! crystal system: cubic
&SYSTEM
  ibrav = 0, nat = 5, ntyp = 3
/
ATOMIC_SPECIES
B 10.81 B.upf
Te 127.60 Te.upf
Ag 107.87 Ag.upf
CELL_PARAMETERS angstrom
-2.874 -2.416 2.577
2.771 0.517 3.576
-2.190 3.825 1.143
ATOMIC_POSITIONS angstrom
B 0.000 0.000 0.000
Te -1.147 0.964 3.648
Ag 1.386 0.259 1.788
Ag -1.095 1.913 0.572
Ag -1.437 -1.208 1.288